(1)
A plane-wave DFT calculation with PBE was carried out for a relaxed structure of CsRb2TaI6.

E_form (uncorrected)	-900.9	meV/atom
final energy	-3.2951	eV per atom

abc: 9.0770 9.0770 9.0770
angles: 60.00 60.00 60.00
Last column: nearest neighbours and their distance in Å.
Sites, in units of the cell vectors:
Cs 0.0000 0.0000 0.0000  6 I 3.58
Rb 0.2500 0.2500 0.2500  12 I 4.55
Rb 0.7500 0.7500 0.7500  12 I 4.55
Ta 0.5000 0.5000 0.5000  6 I 2.84
I 0.2791 0.2791 0.7209  1 Ta 2.84
I 0.2791 0.7209 0.2791  1 Ta 2.84
I 0.2791 0.7209 0.7209  1 Ta 2.84
I 0.7209 0.2791 0.2791  1 Ta 2.84
I 0.7209 0.2791 0.7209  1 Ta 2.84
I 0.7209 0.7209 0.2791  1 Ta 2.84

(2)
A plane-wave DFT calculation with PBE was carried out for a relaxed structure of Ac4Nd5Er.

energy relative to the elements	0.281	eV/atom
final energy	-4.2028	eV per atom

abc: 9.8046 9.8046 8.8690
angles: 115.13 115.13 32.44
Last column: nearest neighbours and their distance in Å.
Sites, in units of the cell vectors:
Ac 0.0230 0.0230 0.2694  6 Nd 3.53-3.86, 2 Er 3.56, 2 Ac 3.75
Ac 0.3253 0.3253 0.5757  1 Er 3.64, 7 Nd 3.68-3.83, 4 Ac 3.74-3.75
Ac 0.6747 0.6747 0.4243  1 Er 3.64, 7 Nd 3.68-3.83, 4 Ac 3.74-3.75
Ac 0.9770 0.9770 0.7306  6 Nd 3.53-3.86, 2 Er 3.56, 2 Ac 3.75
Nd 0.1647 0.1647 0.7044  5 Ac 3.59-3.76, 3 Nd 3.63-3.82, 2 Er 3.93
Nd 0.1783 0.1783 0.1256  3 Nd 3.63-3.82, 5 Ac 3.67-3.86
Nd 0.5000 0.5000 0.0000  6 Ac 3.53-3.75
Nd 0.8217 0.8217 0.8744  3 Nd 3.63-3.82, 5 Ac 3.67-3.86
Nd 0.8353 0.8353 0.2956  5 Ac 3.59-3.76, 3 Nd 3.63-3.82, 2 Er 3.93
Er 0.5000 0.5000 0.5000  6 Ac 3.56-3.64, 4 Nd 3.93

(3)
A plane-wave DFT calculation with PBE was carried out for a relaxed structure of Rb2In3SnAu4.

energy relative to the elements	-0.278	eV/atom
final energy	-3.0039	eV per atom

abc: 5.0767 5.0767 10.9077
angles: 90.00 90.00 90.00
Last column: nearest neighbours and their distance in Å.
Sites, in units of the cell vectors:
Rb 0.0000 0.5000 0.2410  8 Au 3.65-3.89, 7 In 3.80-3.91, 2 Sn 3.80
Rb 0.5000 0.0000 0.7590  8 Au 3.65-3.89, 7 In 3.80-3.91, 2 Sn 3.80
In 0.0000 0.5000 0.8822  5 Au 2.83-2.85
In 0.5000 0.0000 0.1178  5 Au 2.83-2.85
In 0.5000 0.5000 0.5000  4 Au 2.87
Sn 0.0000 0.0000 0.5000  4 Au 2.87
Au 0.0000 0.0000 0.0000  4 In 2.85
Au 0.0000 0.5000 0.6225  3 In 2.83-2.87, 2 Sn 2.87
Au 0.5000 0.0000 0.3775  3 In 2.83-2.87, 2 Sn 2.87
Au 0.5000 0.5000 0.0000  4 In 2.85

(4)
A plane-wave DFT calculation with PBE was carried out for a relaxed structure of ZrSn2BiN.

E_form (uncorrected)	292.9	meV/atom
final energy	-5.4592	eV per atom

abc: 5.9077 5.9077 4.0142
angles: 90.00 90.00 90.00
Last column: nearest neighbours and their distance in Å.
Sites, in units of the cell vectors:
Zr 0.0000 0.0000 0.0000  2 N 2.01
Sn 0.0000 0.5000 0.0000  2 Zr 2.95
Sn 0.5000 0.0000 0.0000  2 Zr 2.95
Bi 0.5000 0.5000 0.5000  8 Sn 3.57
N 0.0000 0.0000 0.5000  2 Zr 2.01

(5)
A plane-wave DFT calculation with PBE was carried out for a relaxed structure of ThZn2Ni3.

energy relative to the elements	-0.333	eV/atom
final energy	-4.8850	eV per atom

abc: 6.1203 6.1203 5.1550
angles: 90.00 90.00 77.50
Last column: nearest neighbours and their distance in Å.
Sites, in units of the cell vectors:
Th 0.1862 0.8138 0.7500  5 Ni 2.66-2.91
Th 0.8138 0.1862 0.2500  5 Ni 2.66-2.91
Zn 0.2802 0.2802 0.0000  6 Ni 2.46-2.67, 2 Zn 2.58
Zn 0.2802 0.2802 0.5000  6 Ni 2.46-2.67, 2 Zn 2.58
Zn 0.7198 0.7198 0.0000  6 Ni 2.46-2.67, 2 Zn 2.58
Zn 0.7198 0.7198 0.5000  6 Ni 2.46-2.67, 2 Zn 2.58
Ni 0.0704 0.6474 0.2500  1 Ni 2.38, 2 Zn 2.46
Ni 0.3526 0.9296 0.2500  1 Ni 2.38, 2 Zn 2.46
Ni 0.4671 0.5329 0.2500  4 Ni 2.38-2.63, 4 Zn 2.48, 1 Th 2.66
Ni 0.5329 0.4671 0.7500  4 Ni 2.38-2.63, 4 Zn 2.48, 1 Th 2.66
Ni 0.6474 0.0704 0.7500  1 Ni 2.38, 2 Zn 2.46
Ni 0.9296 0.3526 0.7500  1 Ni 2.38, 2 Zn 2.46